Record 1
Computed, not measured: Tl4Cd3Hg2 after structural relaxation at the PBE level of DFT.

Results
* E_tot: -1.40 eV/atom
* E_form: 0.025 eV/atom
* magnetization: 0.0 μB per formula unit

```
Tl4Cd3Hg2
1.0
3.3272 0.0000 -0.9174
-1.0117 8.8662 -3.6691
0.6407 -1.3503 8.8157
Hg Cd Tl
2 3 4
Cartesian
1.0499 3.6096 3.8077 Hg
1.9063 3.9064 0.4215 Hg
2.5603 6.0947 2.7935 Cd
0.3959 1.4212 1.4357 Cd
-0.5058 4.4331 -1.8345 Cd
1.0264 7.4062 -2.7697 Tl
2.7934 0.8369 3.6388 Tl
1.9298 0.1097 6.9989 Tl
0.1628 6.6790 0.5904 Tl
```


Record 2
Computed, not measured: TlCdHg after structural relaxation at the PBE level of DFT.

Results
* energy relative to the lowest polymorph listed for this composition: 0.015 eV per atom
* E_tot: -1.18 eV/atom
* E_form: 0.017 eV/atom
* magnetization: 0.0 μB per formula unit

```
TlCdHg
1.0
6.8479 -0.1707 0.1783
6.0034 3.2954 0.2045
0.8445 0.1760 3.4617
Tl Hg Cd
1 1 1
Cartesian
8.8348 2.1383 1.4127 Tl
4.9566 1.1859 2.4072 Hg
12.7556 3.1012 0.4073 Cd
```


Record 3
Computed, not measured: TlCd2Hg after structural relaxation at the PBE level of DFT.

Results
* energy relative to the lowest polymorph listed for this composition: 0.025 eV per atom
* E_tot: -1.08 eV/atom
* E_form: 0.045 eV/atom
* magnetization: 0.0 μB per formula unit

```
TlCd2Hg
1.0
10.4461 -0.0141 -0.0083
9.8870 3.3717 -0.0083
9.8870 1.6326 2.9501
Hg Tl Cd
1 1 2
Cartesian
15.2767 2.5226 1.4829 Hg
22.6378 3.7381 2.1974 Tl
7.5785 1.2514 0.7356 Cd
30.0576 4.9633 2.9177 Cd
```